Entry 1:
# PBE-GGA BeHgW, relaxed
# total magnetization = 0.000 μB/atom
# E_tot = -5.00 eV/atom
# mass density = 13.64 Mg/m³
data_BeHgW
_cell_length_a 2.8632
_cell_length_b 2.8632
_cell_length_c 6.7465
_cell_angle_alpha 90.00
_cell_angle_beta 90.00
_cell_angle_gamma 120.00
_symmetry_space_group_name_H-M 'P 3 m 1'
_symmetry_Int_Tables_number 156
loop_
_symmetry_equiv_pos_as_xyz
'x,y,z'
'-y,x-y,z'
'-x+y,-x,z'
'-y,-x,z'
'-x+y,y,z'
'x,x-y,z'
loop_
_atom_site_label
_atom_site_type_symbol
_atom_site_fract_x
_atom_site_fract_y
_atom_site_fract_z
Be1 Be 0.0000 0.0000 0.0000
Hg1 Hg 0.6667 0.3333 0.3314
W1 W 0.3333 0.6667 0.7124



Entry 2:
# PBE-GGA KAuCl2, relaxed
# total magnetization = 0.000 μB/atom
# E_tot = -2.91 eV/atom
# mass density = 3.79 Mg/m³
data_KAuCl2
_cell_length_a 6.1353
_cell_length_b 6.1353
_cell_length_c 14.2984
_cell_angle_alpha 90.00
_cell_angle_beta 90.00
_cell_angle_gamma 90.00
_symmetry_space_group_name_H-M 'I -4 2 d'
_symmetry_Int_Tables_number 122
_symmetry_space_group_name_Hall 'I -4 2bw'
loop_
_atom_site_label
_atom_site_type_symbol
_atom_site_fract_x
_atom_site_fract_y
_atom_site_fract_z
K1 K 0.0000 0.0000 0.0000
Au1 Au 0.0000 0.0000 0.5000
Cl1 Cl 0.1822 0.2500 0.6250